No. 1
First-principles (GGA-PBE) data for a relaxed ZrTa2Hg crystal, as listed in Alexandria via LeMat-Bulk.

The structure in CIF format:
```
data_ZrTa2Hg
_chemical_formula_sum 'Zr1 Ta2 Hg1'
_symmetry_space_group_name_H-M 'P 1'
_symmetry_Int_Tables_number 1
_symmetry_space_group_name_Hall 'P 1'
_cell_length_a 5.220
_cell_length_b 5.220
_cell_length_c 5.351
_cell_angle_alpha 98.06
_cell_angle_beta 98.06
_cell_angle_gamma 33.69
loop_
_atom_site_label
_atom_site_type_symbol
_atom_site_fract_x
_atom_site_fract_y
_atom_site_fract_z
_atom_site_occupancy
Zr1 Zr 0.000 0.000 0.000 1
Ta1 Ta 0.513 0.513 0.494 1
Ta2 Ta 0.767 0.767 0.287 1
Hg1 Hg 0.252 0.252 0.772 1
```

Summary:
- ΔE_f: 0.236 eV per atom
- Calculated density: 13.6 Mg/m³
- Symmetry: No. 8

No. 2
First-principles (GGA-PBE) data for a relaxed TcP2Au crystal, as listed in Alexandria via LeMat-Bulk.

The structure in CIF format:
```
data_TcP2Au
_chemical_formula_sum 'Tc1 P2 Au1'
_symmetry_space_group_name_H-M 'P 1'
_symmetry_Int_Tables_number 1
_symmetry_space_group_name_Hall 'P 1'
_cell_length_a 5.058
_cell_length_b 5.058
_cell_length_c 2.624
_cell_angle_alpha 90.00
_cell_angle_beta 90.00
_cell_angle_gamma 107.93
loop_
_atom_site_label
_atom_site_type_symbol
_atom_site_fract_x
_atom_site_fract_y
_atom_site_fract_z
_atom_site_occupancy
Tc1 Tc 0.000 0.000 0.000 1
P1 P 0.000 0.500 0.000 1
P2 P 0.500 0.000 0.000 1
Au1 Au 0.500 0.500 0.000 1
```

Summary:
- ΔE_f: 0.348 eV per atom
- Energy above the lowest structure with this stoichiometry: 501 meV/atom
- Calculated density: 9.3 Mg/m³
- Symmetry: No. 65

No. 3
First-principles (GGA-PBE) data for a relaxed CaAcGaSi crystal, as listed in Alexandria via LeMat-Bulk.

The structure in CIF format:
```
data_CaAcGaSi
_chemical_formula_sum 'Ca1 Ac1 Ga1 Si1'
_symmetry_space_group_name_H-M 'P 1'
_symmetry_Int_Tables_number 1
_symmetry_space_group_name_Hall 'P 1'
_cell_length_a 5.335
_cell_length_b 5.335
_cell_length_c 5.335
_cell_angle_alpha 60.00
_cell_angle_beta 60.00
_cell_angle_gamma 60.00
loop_
_atom_site_label
_atom_site_type_symbol
_atom_site_fract_x
_atom_site_fract_y
_atom_site_fract_z
_atom_site_occupancy
Ca1 Ca 0.000 0.000 0.000 1
Ac1 Ac 0.500 0.500 0.500 1
Ga1 Ga 0.750 0.750 0.750 1
Si1 Si 0.250 0.250 0.250 1
```

Summary:
- Energy above the lowest structure with this stoichiometry: 177 meV/atom
- Calculated density: 5.6 Mg/m³
- Symmetry: No. 216
- Uncorrected formation energy: -0.37 eV per atom

No. 4
First-principles (GGA-PBE) data for a relaxed Pm7Ga2N crystal, as listed in Alexandria via LeMat-Bulk.

The structure in CIF format:
```
data_Pm7Ga2N
_chemical_formula_sum 'Pm7 Ga2 N1'
_symmetry_space_group_name_H-M 'P 1'
_symmetry_Int_Tables_number 1
_symmetry_space_group_name_Hall 'P 1'
_cell_length_a 7.309
_cell_length_b 7.309
_cell_length_c 7.309
_cell_angle_alpha 60.00
_cell_angle_beta 60.00
_cell_angle_gamma 60.00
loop_
_atom_site_label
_atom_site_type_symbol
_atom_site_fract_x
_atom_site_fract_y
_atom_site_fract_z
_atom_site_occupancy
Pm1 Pm 0.000 0.000 0.000 1
Pm2 Pm 0.268 0.268 0.732 1
Pm3 Pm 0.268 0.732 0.268 1
Pm4 Pm 0.268 0.732 0.732 1
Pm5 Pm 0.732 0.268 0.268 1
Pm6 Pm 0.732 0.268 0.732 1
Pm7 Pm 0.732 0.732 0.268 1
Ga1 Ga 0.250 0.250 0.250 1
Ga2 Ga 0.750 0.750 0.750 1
N1 N 0.500 0.500 0.500 1
```

Summary:
- Calculated density: 7.0 Mg/m³
- Symmetry: No. 225
- Uncorrected formation energy: 0.06 eV per atom

No. 5
First-principles (GGA-PBE) data for a relaxed LaTePb crystal, as listed in Alexandria via LeMat-Bulk.

The structure in CIF format:
```
data_LaTePb
_chemical_formula_sum 'La1 Te1 Pb1'
_symmetry_space_group_name_H-M 'P 1'
_symmetry_Int_Tables_number 1
_symmetry_space_group_name_Hall 'P 1'
_cell_length_a 4.163
_cell_length_b 4.163
_cell_length_c 7.250
_cell_angle_alpha 90.00
_cell_angle_beta 90.00
_cell_angle_gamma 120.00
loop_
_atom_site_label
_atom_site_type_symbol
_atom_site_fract_x
_atom_site_fract_y
_atom_site_fract_z
_atom_site_occupancy
La1 La 0.000 0.000 0.000 1
Te1 Te 0.333 0.667 0.718 1
Pb1 Pb 0.667 0.333 0.360 1
```

Summary:
- Calculated density: 7.2 Mg/m³
- Symmetry: No. 156
- Uncorrected formation energy: -0.48 eV per atom

No. 6
First-principles (GGA-PBE) data for a relaxed Cs2LiAg2Br6 crystal, as listed in Alexandria via LeMat-Bulk.

The structure in CIF format:
```
data_Cs2LiAg2Br6
_chemical_formula_sum 'Cs2 Li1 Ag2 Br6'
_symmetry_space_group_name_H-M 'P 1'
_symmetry_Int_Tables_number 1
_symmetry_space_group_name_Hall 'P 1'
_cell_length_a 8.306
_cell_length_b 8.306
_cell_length_c 8.110
_cell_angle_alpha 114.88
_cell_angle_beta 114.88
_cell_angle_gamma 53.02
loop_
_atom_site_label
_atom_site_type_symbol
_atom_site_fract_x
_atom_site_fract_y
_atom_site_fract_z
_atom_site_occupancy
Cs1 Cs 0.233 0.233 0.210 1
Cs2 Cs 0.767 0.767 0.790 1
Li1 Li 0.000 0.000 0.500 1
Ag1 Ag 0.429 0.429 0.777 1
Ag2 Ag 0.571 0.571 0.223 1
Br1 Br 0.190 0.728 0.219 1
Br2 Br 0.239 0.239 0.675 1
Br3 Br 0.272 0.810 0.781 1
Br4 Br 0.728 0.190 0.219 1
Br5 Br 0.761 0.761 0.325 1
Br6 Br 0.810 0.272 0.781 1
```

Summary:
- Calculated density: 4.1 Mg/m³
- Symmetry: No. 12
- Uncorrected formation energy: -1.01 eV per atom

No. 7
First-principles (GGA-PBE) data for a relaxed ReSiOs2 crystal, as listed in Alexandria via LeMat-Bulk.

The structure in CIF format:
```
data_ReSiOs2
_chemical_formula_sum 'Re1 Si1 Os2'
_symmetry_space_group_name_H-M 'P 1'
_symmetry_Int_Tables_number 1
_symmetry_space_group_name_Hall 'P 1'
_cell_length_a 3.883
_cell_length_b 3.883
_cell_length_c 3.762
_cell_angle_alpha 90.00
_cell_angle_beta 90.00
_cell_angle_gamma 90.00
loop_
_atom_site_label
_atom_site_type_symbol
_atom_site_fract_x
_atom_site_fract_y
_atom_site_fract_z
_atom_site_occupancy
Re1 Re 0.000 0.000 0.000 1
Si1 Si 0.500 0.500 0.000 1
Os1 Os 0.000 0.500 0.500 1
Os2 Os 0.500 0.000 0.500 1
```

Summary:
- Calculated density: 17.4 Mg/m³
- Symmetry: No. 123
- Uncorrected formation energy: 0.35 eV per atom

No. 8
First-principles (GGA-PBE) data for a relaxed CaAc2NdRu crystal, as listed in Alexandria via LeMat-Bulk.

The structure in CIF format:
```
data_CaAc2NdRu
_chemical_formula_sum 'Ca1 Ac2 Nd1 Ru1'
_symmetry_space_group_name_H-M 'P 1'
_symmetry_Int_Tables_number 1
_symmetry_space_group_name_Hall 'P 1'
_cell_length_a 5.826
_cell_length_b 5.826
_cell_length_c 5.649
_cell_angle_alpha 90.00
_cell_angle_beta 90.00
_cell_angle_gamma 90.00
loop_
_atom_site_label
_atom_site_type_symbol
_atom_site_fract_x
_atom_site_fract_y
_atom_site_fract_z
_atom_site_occupancy
Ca1 Ca 0.000 0.000 0.000 1
Ac1 Ac 0.000 0.500 0.500 1
Ac2 Ac 0.500 0.000 0.500 1
Nd1 Nd 0.500 0.500 0.000 1
Ru1 Ru 0.500 0.500 0.500 1
```

Summary:
- ΔE_f: -0.105 eV per atom
- Calculated density: 6.4 Mg/m³
- Symmetry: No. 123